A plane-wave DFT calculation with PBEsol was carried out for a relaxed structure of SrBi2Rh2.

The calculation puts the calculated formation energy at -1.710 eV/f.u. The calculation puts the volume at 24.604 A^3/atom. The energy comes out at -56.80 eV per cell.

The structure belongs to space group I4/mmm (No. 139); the cell edges are 4.642, 4.642 and 11.417 Å and the angles 90.00°, 90.00° and 90.00°. The inequivalent atoms are Sr at (0.000, 0.000, 0.000), Bi at (0.000, 0.000, 0.363) and Rh at (0.000, 0.500, 0.250).

***

A plane-wave DFT calculation with PBEsol was carried out for a relaxed structure of SrBiRh3.

The calculation puts the calculated formation energy at 2.856 eV/f.u. The calculation puts the volume at 24.362 A^3/atom. The energy comes out at -27.68 eV per cell.

The structure belongs to space group Pm-3m (No. 221); the cell edges are 4.957, 4.957 and 4.957 Å and the angles 90.00°, 90.00° and 90.00°. The inequivalent atoms are Sr at (0.000, 0.000, 0.000), Bi at (0.500, 0.500, 0.500) and Rh at (0.000, 0.500, 0.500).

***

A plane-wave DFT calculation with PBEsol was carried out for a relaxed structure of SrZrBi2Rh.

The calculation puts the calculated formation energy at 6.218 eV/f.u. The calculation puts the volume at 30.799 A^3/atom. The energy comes out at -21.42 eV per cell.

The structure belongs to space group P4/mmm (No. 123); the cell edges are 5.744, 5.744 and 4.667 Å and the angles 90.00°, 90.00° and 90.00°. The inequivalent atoms are Sr at (0.000, 0.000, 0.000), Zr at (0.500, 0.500, 0.500), Bi at (0.000, 0.500, 0.000) and Rh at (0.000, 0.000, 0.500).

***

A plane-wave DFT calculation with PBEsol was carried out for a relaxed structure of TbBiRh.

The calculation puts the calculated formation energy at -2.309 eV/f.u. The calculation puts the volume at 21.674 A^3/atom. The energy comes out at -59.23 eV per cell.

The structure belongs to space group P-62m (No. 189); the cell edges are 7.5620, 7.5620 and 3.9388 Å and the angles 90.00°, 90.00° and 120.00°. The inequivalent atoms are Tb at (0.0000, 0.4009, 0.0000), Bi at (0.0000, 0.7350, 0.5000), Rh at (0.0000, 0.0000, 0.0000) and Rh at (0.3333, 0.6667, 0.5000).

***

A plane-wave DFT calculation with PBEsol was carried out for a relaxed structure of BiTeRh.

The calculation puts the volume at 22.898 A^3/atom. The energy comes out at -68.54 eV per cell.

The structure belongs to space group P2_13 (No. 198); the cell edges are 6.501, 6.501 and 6.501 Å and the angles 90.00°, 90.00° and 90.00°. The inequivalent atoms are Bi at (0.132, 0.368, 0.632), Te at (0.128, 0.128, 0.128) and Rh at (0.007, 0.993, 0.493).

***

A plane-wave DFT calculation with PBEsol was carried out for a relaxed structure of TiBi2Rh.

The calculation puts the calculated formation energy at 0.938 eV/f.u. The calculation puts the volume at 22.711 A^3/atom. The energy comes out at -96.38 eV per cell.

The structure belongs to space group I-42d (No. 122); the cell edges are 4.464, 4.464 and 18.235 Å and the angles 90.00°, 90.00° and 90.00°. The inequivalent atoms are Ti at (0.000, 0.000, 0.000), Bi at (0.242, 0.250, 0.625) and Rh at (0.000, 0.000, 0.500).

***

A plane-wave DFT calculation with PBEsol was carried out for a relaxed structure of Ti3BiRh.

The calculation puts the calculated formation energy at 0.501 eV/f.u. The energy above the most stable polymorph in this dataset comes out at 0.000 eV/atom. The calculation puts the volume at 20.661 A^3/atom. The energy comes out at -36.89 eV per cell.

The structure belongs to space group Pm-3m (No. 221); the cell edges are 4.692, 4.692 and 4.692 Å and the angles 90.00°, 90.00° and 90.00°. The inequivalent atoms are Ti at (0.000, 0.000, 0.500), Bi at (0.500, 0.500, 0.500) and Rh at (0.000, 0.000, 0.000).

***

A plane-wave DFT calculation with PBEsol was carried out for a relaxed structure of TmBiRh.

The calculation puts the calculated formation energy at -2.251 eV/f.u. The calculation puts the volume at 23.093 A^3/atom. The energy comes out at -78.30 eV per cell.

The structure belongs to space group F-43m (No. 216); the cell edges are 6.520, 6.520 and 6.520 Å and the angles 90.00°, 90.00° and 90.00°. The inequivalent atoms are Tm at (0.000, 0.000, 0.000), Bi at (0.000, 0.000, 0.500) and Rh at (0.250, 0.250, 0.750).

***

A plane-wave DFT calculation with PBEsol was carried out for a relaxed structure of TmBiRh.

The calculation puts the calculated formation energy at -0.521 eV/f.u. The calculation puts the volume at 23.982 A^3/atom. The energy comes out at -71.37 eV per cell.

The structure belongs to space group F-43m (No. 216); the cell edges are 6.602, 6.602 and 6.602 Å and the angles 90.00°, 90.00° and 90.00°. The inequivalent atoms are Tm at (0.000, 0.000, 0.000), Bi at (0.250, 0.250, 0.750) and Rh at (0.000, 0.000, 0.500).

***

A plane-wave DFT calculation with PBEsol was carried out for a relaxed structure of Y2BiRh2.

The calculation puts the calculated formation energy at -3.643 eV/f.u. The calculation puts the volume at 20.914 A^3/atom. The energy comes out at -75.70 eV per cell.

The structure belongs to space group P4/mbm (No. 127); the cell edges are 7.586, 7.586 and 3.635 Å and the angles 90.00°, 90.00° and 90.00°. The inequivalent atoms are Y at (0.168, 0.332, 0.000), Bi at (0.000, 0.000, 0.500) and Rh at (0.131, 0.631, 0.500).

***

A plane-wave DFT calculation with PBEsol was carried out for a relaxed structure of Zr3BiRh.

The calculation puts the calculated formation energy at 7.400 eV/f.u. The calculation puts the volume at 28.783 A^3/atom. The energy comes out at -32.29 eV per cell.

The structure belongs to space group Pm-3m (No. 221); the cell edges are 5.240, 5.240 and 5.240 Å and the angles 90.00°, 90.00° and 90.00°. The inequivalent atoms are Zr at (0.000, 0.000, 0.500), Bi at (0.000, 0.000, 0.000) and Rh at (0.500, 0.500, 0.500).

***

A plane-wave DFT calculation with PBEsol was carried out for a relaxed structure of BiSbTe2Ru.

The calculation puts the volume at 27.139 A^3/atom. The energy comes out at -24.18 eV per cell.

The structure belongs to space group P4/mmm (No. 123); the cell edges are 5.203, 5.203 and 5.013 Å and the angles 90.00°, 90.00° and 90.00°. The inequivalent atoms are Bi at (0.000, 0.000, 0.000), Sb at (0.500, 0.500, 0.000), Te at (0.000, 0.500, 0.500) and Ru at (0.500, 0.500, 0.500).